# 1
AcTbPrAl PBE-GGA optimized geometry; symmetry = F-43m, No. 216; E_form = 1.31 kcal/mol of atoms; size of the total moment = 0.00 μB per formula unit
1.0
0.0000 3.9570 3.9570
3.9570 0.0000 3.9570
3.9570 3.9570 0.0000
Ac Tb Pr Al
1 1 1 1
Direct
0.0000 0.0000 0.0000 Ac
0.2500 0.2500 0.2500 Tb
0.7500 0.7500 0.7500 Pr
0.5000 0.5000 0.5000 Al

---

# 2
Ac3Pr3AlTl2 PBE-GGA optimized geometry; symmetry = P-62m, No. 189; E_form = -4.61 kcal/mol of atoms; size of the total moment = 0.00 μB per formula unit
1.0
9.4566 0.0000 0.0000
-4.7283 8.1897 0.0000
0.0000 0.0000 4.0153
Ac Pr Al Tl
3 3 1 2
Direct
0.0000 0.7275 0.0000 Ac
0.2725 0.2725 0.0000 Ac
0.7275 0.0000 0.0000 Ac
0.0000 0.3905 0.5000 Pr
0.3905 0.0000 0.5000 Pr
0.6095 0.6095 0.5000 Pr
0.0000 0.0000 0.5000 Al
0.3333 0.6667 0.0000 Tl
0.6667 0.3333 0.0000 Tl

---

# 3
AcPrAlTl PBE-GGA optimized geometry; symmetry = F-43m, No. 216; E_form = -6.55 kcal/mol of atoms; size of the total moment = 0.00 μB per formula unit
1.0
0.0000 3.9639 3.9639
3.9639 0.0000 3.9639
3.9639 3.9639 0.0000
Ac Pr Al Tl
1 1 1 1
Direct
0.0000 0.0000 0.0000 Ac
0.5000 0.5000 0.5000 Pr
0.7500 0.7500 0.7500 Al
0.2500 0.2500 0.2500 Tl

---

# 4
AcPr2Al2Zn2 PBE-GGA optimized geometry; symmetry = R-3m, No. 166; E_form = -6.52 kcal/mol of atoms; size of the total moment = 0.00 μB per formula unit
1.0
2.3104 1.3339 9.9896
-2.3104 1.3339 9.9896
0.0000 -2.6678 9.9896
Ac Pr Al Zn
1 2 2 2
Direct
0.0000 0.0000 0.0000 Ac
0.1315 0.1315 0.1315 Pr
0.8685 0.8685 0.8685 Pr
0.2576 0.2576 0.2576 Al
0.7424 0.7424 0.7424 Al
0.4102 0.4102 0.4102 Zn
0.5898 0.5898 0.5898 Zn

---

# 5
Ac2Al3Pt PBE-GGA optimized geometry; symmetry = Fmmm, No. 69; E_form = -14.59 kcal/mol of atoms; size of the total moment = 0.00 μB per formula unit
1.0
0.0000 4.6167 7.7249
4.4886 0.0000 7.7249
4.4886 4.6167 0.0000
Ac Al Pt
4 6 2
Direct
0.2400 0.7600 0.2400 Ac
0.2500 0.2500 0.2500 Ac
0.7500 0.7500 0.7500 Ac
0.7600 0.2400 0.7600 Ac
0.1621 0.6672 0.8379 Al
0.3303 0.3303 0.6697 Al
0.3328 0.8379 0.6672 Al
0.6672 0.1621 0.3328 Al
0.6697 0.6697 0.3303 Al
0.8379 0.3328 0.1621 Al
0.1663 0.1663 0.8337 Pt
0.8337 0.8337 0.1663 Pt

---

# 6
AcAl5Pt2 PBE-GGA optimized geometry; symmetry = Immm, No. 71; E_form = -20.33 kcal/mol of atoms; size of the total moment = 0.00 μB per formula unit
1.0
-2.0985 3.6566 5.0700
2.0985 -3.6566 5.0700
2.0985 3.6566 -5.0700
Ac Al Pt
1 5 2
Direct
0.0000 0.0000 0.0000 Ac
0.1566 0.3451 0.8115 Al
0.4665 0.6549 0.8115 Al
0.5000 0.0000 0.5000 Al
0.5335 0.3451 0.1885 Al
0.8434 0.6549 0.1885 Al
0.2631 0.7631 0.5000 Pt
0.7369 0.2369 0.5000 Pt

---

# 7
AcAl5Pt3 PBE-GGA optimized geometry; symmetry = Cmcm, No. 63; E_form = -22.63 kcal/mol of atoms; size of the total moment = 0.00 μB per formula unit
1.0
2.0764 -6.4866 0.0000
2.0764 6.4866 0.0000
0.0000 0.0000 12.7457
Ac Al Pt
2 10 6
Direct
0.1661 0.8339 0.7500 Ac
0.8339 0.1661 0.2500 Ac
0.0000 0.0000 0.0000 Al
0.0000 0.0000 0.5000 Al
0.1987 0.8013 0.0627 Al
0.1987 0.8013 0.4373 Al
0.4438 0.5562 0.6491 Al
0.4438 0.5562 0.8509 Al
0.5562 0.4438 0.1491 Al
0.5562 0.4438 0.3509 Al
0.8013 0.1987 0.5627 Al
0.8013 0.1987 0.9373 Al
0.1204 0.8796 0.2500 Pt
0.3880 0.6120 0.0407 Pt
0.3880 0.6120 0.4593 Pt
0.6120 0.3880 0.5407 Pt
0.6120 0.3880 0.9593 Pt
0.8796 0.1204 0.7500 Pt

---

# 8
AcAlPt3 PBE-GGA optimized geometry; excess energy over the best structure of this formula in the dataset = 162.7 meV per atom; symmetry = Cmmm, No. 65; E_form = -17.87 kcal/mol of atoms; size of the total moment = 0.00 μB per formula unit
1.0
2.9891 -3.7878 0.0000
2.9891 3.7878 0.0000
0.0000 0.0000 4.8143
Ac Al Pt
1 1 3
Direct
0.0000 0.0000 0.0000 Ac
0.5000 0.5000 0.5000 Al
0.0000 0.5000 0.5000 Pt
0.5000 0.0000 0.5000 Pt
0.5000 0.5000 0.0000 Pt

---

# 9
Ac3Al4Pt2 PBE-GGA optimized geometry; symmetry = C2/m, No. 12; E_form = -17.32 kcal/mol of atoms; size of the total moment = 0.00 μB per formula unit
1.0
5.8235 -2.2072 0.0000
5.8235 2.2072 0.0000
-3.1068 0.0000 8.9484
Ac Al Pt
3 4 2
Direct
0.0000 0.0000 0.0000 Ac
0.4025 0.4025 0.3086 Ac
0.5975 0.5975 0.6914 Ac
0.1590 0.1590 0.4339 Al
0.2705 0.2705 0.9324 Al
0.7295 0.7295 0.0676 Al
0.8410 0.8410 0.5661 Al
0.3276 0.3276 0.6947 Pt
0.6724 0.6724 0.3053 Pt

---

# 10
AcAl9Pt2 PBE-GGA optimized geometry; symmetry = I4_1/amd, No. 141; E_form = -12.84 kcal/mol of atoms; size of the total moment = 0.00 μB per formula unit
1.0
-5.3852 5.3852 3.6751
5.3852 -5.3852 3.6751
5.3852 5.3852 -3.6751
Ac Al Pt
2 18 4
Direct
0.3750 0.6250 0.7500 Ac
0.6250 0.3750 0.2500 Ac
0.1250 0.8750 0.2500 Al
0.1356 0.5610 0.3299 Al
0.1356 0.8057 0.5746 Al
0.1943 0.2689 0.3299 Al
0.1943 0.8644 0.9254 Al
0.2689 0.1943 0.8299 Al
0.2689 0.4390 0.0746 Al
0.4390 0.2689 0.5746 Al
0.4390 0.8644 0.1701 Al
0.5610 0.1356 0.8299 Al
0.5610 0.7311 0.4254 Al
0.7311 0.5610 0.9254 Al
0.7311 0.8057 0.1701 Al
0.8057 0.1356 0.0746 Al
0.8057 0.7311 0.6701 Al
0.8644 0.1943 0.4254 Al
0.8644 0.4390 0.6701 Al
0.8750 0.1250 0.7500 Al
0.0000 0.0000 0.0000 Pt
0.0000 0.0000 0.5000 Pt
0.0000 0.5000 0.0000 Pt
0.5000 0.0000 0.5000 Pt

---

# 11
AcAl4Pt4 PBE-GGA optimized geometry; symmetry = P4_2/nmc, No. 137; E_form = -22.93 kcal/mol of atoms; size of the total moment = 0.00 μB per formula unit
1.0
6.3711 0.0000 0.0000
0.0000 6.3711 0.0000
0.0000 0.0000 8.4099
Ac Al Pt
2 8 8
Direct
0.2500 0.7500 0.2500 Ac
0.7500 0.2500 0.7500 Ac
0.0039 0.2500 0.1364 Al
0.2500 0.0039 0.6364 Al
0.2500 0.4961 0.6364 Al
0.4961 0.2500 0.1364 Al
0.5039 0.7500 0.8636 Al
0.7500 0.5039 0.3636 Al
0.7500 0.9961 0.3636 Al
0.9961 0.7500 0.8636 Al
0.0387 0.2500 0.4381 Pt
0.2500 0.0387 0.9381 Pt
0.2500 0.4613 0.9381 Pt
0.4613 0.2500 0.4381 Pt
0.5387 0.7500 0.5619 Pt
0.7500 0.5387 0.0619 Pt
0.7500 0.9613 0.0619 Pt
0.9613 0.7500 0.5619 Pt

---

# 12
Ac2Al7Pt PBE-GGA optimized geometry; symmetry = P-4m2, No. 115; E_form = -12.29 kcal/mol of atoms; size of the total moment = 0.00 μB per formula unit
1.0
4.4443 0.0000 0.0000
0.0000 4.4443 0.0000
0.0000 0.0000 11.0348
Ac Al Pt
2 7 1
Direct
0.0000 0.5000 0.2459 Ac
0.5000 0.0000 0.7541 Ac
0.0000 0.0000 0.0000 Al
0.0000 0.0000 0.5000 Al
0.0000 0.5000 0.6382 Al
0.0000 0.5000 0.8793 Al
0.5000 0.0000 0.1207 Al
0.5000 0.0000 0.3618 Al
0.5000 0.5000 0.5000 Al
0.5000 0.5000 0.0000 Pt